Density functional theory data (GGA-PBE) for LuFe4Ir after structural relaxation.

Cell lengths 4.9209, 4.9209, 4.9209 Å; angles 60.00, 60.00, 60.00 degrees
Atoms (fractional coordinates):
1 Lu 0.0000 0.0000 0.0000
2 Fe 0.3755 0.3755 0.3755
3 Fe 0.3755 0.3755 0.8734
4 Fe 0.3755 0.8734 0.3755
5 Fe 0.8734 0.3755 0.3755
6 Ir 0.7500 0.7500 0.7500

Computed properties:
Size of the total moment ... 10.3 Bohr magnetons per cell
Space-group type ... F-43m, No. 216
Calculated volume ... 14.0 Å³/atom
Formation energy from the elements ... -0.161 eV per atom